[1]
CaPdS3: relaxed, PBE.

```
data_CaPdS3
_symmetry_space_group_name_H-M 'P m -3 m'
_symmetry_Int_Tables_number 221
_symmetry_space_group_name_Hall '-P 4 2 3'
_cell_length_a 4.746
_cell_length_b 4.746
_cell_length_c 4.746
_cell_angle_alpha 90.00
_cell_angle_beta 90.00
_cell_angle_gamma 90.00
loop_
_atom_site_label
_atom_site_fract_x
_atom_site_fract_y
_atom_site_fract_z
Ca1 0.000 0.000 0.000
Pd1 0.500 0.500 0.500
S1 0.000 0.500 0.500
```

Output
Uncorrected formation energy   -480 meV/atom
Polymorph energy (0 for the lowest one)   0.00 eV/f.u.



[2]
CaPd3S: relaxed, PBE.

```
data_CaPd3S
_symmetry_space_group_name_H-M 'P m -3 m'
_symmetry_Int_Tables_number 221
_symmetry_space_group_name_Hall '-P 4 2 3'
_cell_length_a 4.896
_cell_length_b 4.896
_cell_length_c 4.896
_cell_angle_alpha 90.00
_cell_angle_beta 90.00
_cell_angle_gamma 90.00
loop_
_atom_site_label
_atom_site_fract_x
_atom_site_fract_y
_atom_site_fract_z
Ca1 0.000 0.000 0.000
Pd1 0.000 0.000 0.500
S1 0.500 0.500 0.500
```

Output
Uncorrected formation energy   923 meV/atom
Polymorph energy (0 for the lowest one)   7.66 eV/f.u.



[3]
CaPdS: relaxed, PBE.

```
data_CaPdS
_symmetry_space_group_name_H-M 'P n m a'
_symmetry_Int_Tables_number 62
_cell_length_a 7.201
_cell_length_b 3.937
_cell_length_c 7.897
_cell_angle_alpha 90.00
_cell_angle_beta 90.00
_cell_angle_gamma 90.00
loop_
_symmetry_equiv_pos_as_xyz
'x,y,z'
'-x,-y,-z'
'-x+1/2,-y,z+1/2'
'x+1/2,y,-z+1/2'
'x+1/2,-y+1/2,-z+1/2'
'-x+1/2,y+1/2,z+1/2'
'-x,y+1/2,-z'
'x,-y+1/2,z'
loop_
_atom_site_label
_atom_site_fract_x
_atom_site_fract_y
_atom_site_fract_z
Ca1 0.045 0.250 0.191
Pd1 0.156 0.250 0.557
S1 0.232 0.250 0.868
```

Output
Uncorrected formation energy   -1169 meV/atom



[4]
CaPdS: relaxed, PBE.

```
data_CaPdS
_symmetry_space_group_name_H-M 'P 4/n m m'
_symmetry_Int_Tables_number 129
_cell_length_a 4.763
_cell_length_b 4.763
_cell_length_c 5.723
_cell_angle_alpha 90.00
_cell_angle_beta 90.00
_cell_angle_gamma 90.00
loop_
_symmetry_equiv_pos_as_xyz
'x,y,z'
'-x,-y,-z'
'-y+1/2,x,z'
'y+1/2,-x,-z'
'-x+1/2,-y+1/2,z'
'x+1/2,y+1/2,-z'
'y,-x+1/2,z'
'-y,x+1/2,-z'
'x+1/2,-y,-z'
'-x+1/2,y,z'
'-y,-x,-z'
'y,x,z'
'-x,y+1/2,-z'
'x,-y+1/2,z'
'y+1/2,x+1/2,-z'
'-y+1/2,-x+1/2,z'
loop_
_atom_site_label
_atom_site_fract_x
_atom_site_fract_y
_atom_site_fract_z
Ca1 0.250 0.250 0.203
Pd1 0.250 0.250 0.702
S1 0.250 0.750 0.500
```

Output
Uncorrected formation energy   -704 meV/atom



[5]
CaPdS: relaxed, PBE.

```
data_CaPdS
_symmetry_space_group_name_H-M 'P n m a'
_symmetry_Int_Tables_number 62
_cell_length_a 6.102
_cell_length_b 6.714
_cell_length_c 5.891
_cell_angle_alpha 90.00
_cell_angle_beta 90.00
_cell_angle_gamma 90.00
loop_
_symmetry_equiv_pos_as_xyz
'x,y,z'
'-x,-y,-z'
'-x+1/2,-y,z+1/2'
'x+1/2,y,-z+1/2'
'x+1/2,-y+1/2,-z+1/2'
'-x+1/2,y+1/2,z+1/2'
'-x,y+1/2,-z'
'x,-y+1/2,z'
loop_
_atom_site_label
_atom_site_fract_x
_atom_site_fract_y
_atom_site_fract_z
Ca1 0.152 0.250 0.140
Pd1 0.230 0.750 0.170
S1 0.000 0.000 0.500
```

Output
Uncorrected formation energy   -882 meV/atom



[6]
CaPdS: relaxed, PBE.

```
data_CaPdS
_symmetry_space_group_name_H-M 'P 1'
_symmetry_Int_Tables_number 1
_cell_length_a 4.297
_cell_length_b 4.300
_cell_length_c 4.688
_cell_angle_alpha 65.50
_cell_angle_beta 64.77
_cell_angle_gamma 60.07
loop_
_symmetry_equiv_pos_as_xyz
'x,y,z'
loop_
_atom_site_label
_atom_site_fract_x
_atom_site_fract_y
_atom_site_fract_z
Ca1 0.000 0.000 0.000
Pd1 0.534 0.545 0.413
S1 0.227 0.236 0.334
```

Output
Uncorrected formation energy   -1089 meV/atom



[7]
Ca2PdS: relaxed, PBE.

```
data_Ca2PdS
_symmetry_space_group_name_H-M 'R 3 m'
_symmetry_Int_Tables_number 160
_symmetry_space_group_name_Hall 'R 3 -2"'
_cell_length_a 3.9759
_cell_length_b 3.9759
_cell_length_c 21.5110
_cell_angle_alpha 90.00
_cell_angle_beta 90.00
_cell_angle_gamma 120.00
loop_
_atom_site_label
_atom_site_fract_x
_atom_site_fract_y
_atom_site_fract_z
Ca1 0.0000 0.0000 0.0000
Ca2 0.0000 0.0000 0.1618
Pd1 0.0000 0.0000 0.5816
S1 0.0000 0.0000 0.7469
```

Output
Uncorrected formation energy   -1194 meV/atom



[8]
CaPdS: relaxed, PBE.

```
data_CaPdS
_symmetry_space_group_name_H-M 'P 1 m 1'
_symmetry_Int_Tables_number 6
_cell_length_a 4.492
_cell_length_b 3.901
_cell_length_c 7.717
_cell_angle_alpha 90.00
_cell_angle_beta 104.38
_cell_angle_gamma 90.00
loop_
_symmetry_equiv_pos_as_xyz
'x,y,z'
'x,-y,z'
loop_
_atom_site_label
_atom_site_fract_x
_atom_site_fract_y
_atom_site_fract_z
Ca1 0.000 0.000 0.000
Ca2 0.496 0.000 0.501
Pd1 0.403 0.500 0.805
Pd2 0.598 0.500 0.197
S1 0.132 0.500 0.281
S2 0.868 0.500 0.719
```

Output
Uncorrected formation energy   -1184 meV/atom